A PBEsol-optimized structure of MgTlCo4, computed with meta-GGA SCAN.

Cell and atoms, written as extended XYZ:
```
6
Lattice="-3.061 -3.246 1.861 -0.104 -4.505 -1.750 1.688 -3.666 2.661" Properties=species:S:1:pos:R:3 pbc="T T T"
Co -2.081 -5.903 1.968
Co -0.606 -6.531 0.168
Co 0.287 -6.113 2.367
Co -0.554 -4.285 1.041
Mg -1.108 -8.562 2.079
Tl 0.000 0.000 0.000
```

Output
SG	F-43m
energy	-24.20	eV/atom
M_tot	1.181	μB/atom